Here is Hf2PaZn9 after structural relaxation from Alexandria via LeMat-Bulk. Energies are from PBE-GGA.

```
Hf2PaZn9
1.0
5.2976 0.0000 0.0000
0.0000 8.7183 0.0000
0.0000 0.0000 8.7183
Zn Hf Pa
18 4 2
direct
0.5000 0.2041 0.9326
0.2330 0.6732 0.8268
0.5000 0.2959 0.4326
0.5000 0.7959 0.0674
0.2330 0.1732 0.6732
0.5000 0.4326 0.7041
0.5000 0.0000 0.5000
0.5000 0.5674 0.2959
0.7670 0.8268 0.3268
0.5000 0.0674 0.2041
0.7670 0.1732 0.6732
0.7670 0.6732 0.8268
0.2330 0.8268 0.3268
0.7670 0.3268 0.1732
0.2330 0.3268 0.1732
0.5000 0.9326 0.7959
0.5000 0.7041 0.5674
0.5000 0.5000 0.0000
0.0000 0.6256 0.1256
0.0000 0.1256 0.3744
0.0000 0.8744 0.6256
0.0000 0.3744 0.8744
0.0000 0.0000 0.0000
0.0000 0.5000 0.5000
```

Output
energy: -3.547 eV per atom
calculated volume: 402.66 Å³ per cell